[1]
DFT (PBE-GGA) results for a relaxed structure of CaCdP3. Values from VASP.

Cell and atoms, written as Quantum ESPRESSO input:
```
&SYSTEM
  ibrav = 0, nat = 5, ntyp = 3
/
ATOMIC_SPECIES
P 30.97 P.upf
Ca 40.08 Ca.upf
Cd 112.41 Cd.upf
ATOMIC_POSITIONS angstrom
P 0.000 2.498 0.000
P 0.000 0.000 2.498
P 2.498 0.000 0.000
Ca 2.498 2.498 2.498
Cd 0.000 0.000 0.000
CELL_PARAMETERS angstrom
4.996 0.000 0.000
0.000 4.996 0.000
0.000 0.000 4.996
```

Properties
Calculated density ... 3.27 g/cm3
E_form ... 0.51 eV/atom
Size of the total moment ... 0.000 μB per atom
Space-group type ... Pm-3m

[2]
DFT (PBE-GGA) results for a relaxed structure of Ca3CdP. Values from VASP.

Cell and atoms, written as Quantum ESPRESSO input:
```
&SYSTEM
  ibrav = 0, nat = 10, ntyp = 3
/
ATOMIC_SPECIES
P 30.97 P.upf
Ca 40.08 Ca.upf
Cd 112.41 Cd.upf
ATOMIC_POSITIONS angstrom
P 1.280 -4.961 1.730
P 5.339 -3.691 -4.039
Ca 1.613 -8.702 -3.324
Ca 5.005 0.050 1.015
Ca 0.772 -6.419 -0.693
Ca 5.847 -2.233 -1.616
Ca 2.066 -2.806 0.112
Ca 4.553 -5.846 -2.422
Cd 5.115 -3.327 1.539
Cd 1.504 -5.325 -3.848
CELL_PARAMETERS angstrom
-2.117 -4.217 2.981
2.057 -5.581 -6.433
6.678 1.145 1.142
```

Properties
Calculated density ... 2.85 g/cm3
E_form ... -0.61 eV/atom
Size of the total moment ... 0.000 μB per atom
Space-group type ... Cmcm